1.
Compound: Sm2TiCl
Source: Alexandria
Functional: GGA-PBE
Structure: optimized geometry Values from VASP.

**SG**: No. 166
**Fermi-level density of states**: 3.81 states/eV/f.u.
**Uncorrected formation energy**: -86 kJ/mol of formula units

Geometry as Quantum ESPRESSO input:
```
&SYSTEM
  ibrav = 0, nat = 4, ntyp = 3
/
ATOMIC_SPECIES
Cl 35.45 Cl.upf
Sm 150.36 Sm.upf
Ti 47.87 Ti.upf
CELL_PARAMETERS angstrom
-0.982 -2.536 -1.954
-1.927 -2.433 1.257
-9.610 3.784 -2.950
ATOMIC_POSITIONS crystal
Cl 0.500 0.500 0.500
Sm 0.094 0.094 0.718
Sm 0.906 0.906 0.282
Ti 0.000 0.000 0.000
```

2.
Compound: CoBr3
Source: Alexandria
Functional: GGA-PBE
Structure: optimized geometry Values from VASP.

**SG**: No. 225
**Fermi-level density of states**: 2.95 states/eV/f.u.
**Uncorrected formation energy**: 277 kJ/mol of formula units

Geometry as Quantum ESPRESSO input:
```
&SYSTEM
  ibrav = 0, nat = 4, ntyp = 2
/
ATOMIC_SPECIES
Co 58.93 Co.upf
Br 79.90 Br.upf
CELL_PARAMETERS angstrom
-4.817 0.448 1.523
-2.517 4.331 -0.791
-3.737 0.173 -3.425
ATOMIC_POSITIONS crystal
Co 0.000 0.000 0.000
Br 0.250 0.250 0.250
Br 0.750 0.750 0.750
Br 0.500 0.500 0.500
```

3.
Compound: K2CaSnS4
Source: Alexandria
Functional: GGA-PBE
Structure: optimized geometry Values from VASP.

**SG**: No. 74
**Uncorrected formation energy**: -879 kJ/mol of formula units

Geometry as Quantum ESPRESSO input:
```
&SYSTEM
  ibrav = 0, nat = 16, ntyp = 4
/
ATOMIC_SPECIES
K 39.10 K.upf
Ca 40.08 Ca.upf
Sn 118.71 Sn.upf
S 32.06 S.upf
CELL_PARAMETERS angstrom
-1.126 8.163 -1.197
-4.692 -1.568 -6.698
-1.754 -3.632 7.562
ATOMIC_POSITIONS crystal
K 0.500 0.000 0.000
K 0.500 0.000 0.500
K 0.000 0.000 0.500
K 0.500 0.500 0.000
Ca 0.000 0.500 0.000
Ca 0.000 0.500 0.500
Sn 0.500 0.500 0.500
Sn 0.000 0.000 0.000
S 0.201 0.764 0.983
S 0.736 0.299 0.517
S 0.264 0.701 0.483
S 0.799 0.236 0.017
S 0.757 0.743 0.960
S 0.757 0.743 0.540
S 0.243 0.257 0.460
S 0.243 0.257 0.040
```

4.
Compound: ScZnGeMo2
Source: Alexandria
Functional: GGA-PBE
Structure: optimized geometry Values from VASP.

**SG**: No. 123
**ΔE_f**: 767 meV/atom
**Fermi-level density of states**: 4.67 states/eV/f.u.

Geometry as Quantum ESPRESSO input:
```
&SYSTEM
  ibrav = 0, nat = 5, ntyp = 4
/
ATOMIC_SPECIES
Sc 44.96 Sc.upf
Zn 65.41 Zn.upf
Mo 95.94 Mo.upf
Ge 72.64 Ge.upf
CELL_PARAMETERS angstrom
4.719 0.000 0.000
0.000 4.719 0.000
0.000 0.000 4.461
ATOMIC_POSITIONS crystal
Sc 0.500 0.500 0.500
Zn 0.000 0.000 0.500
Mo 0.000 0.500 0.000
Mo 0.500 0.000 0.000
Ge 0.000 0.000 0.000
```

5.
Compound: SiPd6Pt
Source: Alexandria
Functional: GGA-PBE
Structure: optimized geometry Values from VASP.

**SG**: No. 2
**Fermi-level density of states**: 7.05 states/eV/f.u.
**Uncorrected formation energy**: -176 kJ/mol of formula units

Geometry as Quantum ESPRESSO input:
```
&SYSTEM
  ibrav = 0, nat = 8, ntyp = 3
/
ATOMIC_SPECIES
Si 28.09 Si.upf
Pd 106.42 Pd.upf
Pt 195.08 Pt.upf
CELL_PARAMETERS angstrom
-5.181 -3.884 3.750
-0.240 -6.732 0.185
-0.200 -3.261 3.832
ATOMIC_POSITIONS crystal
Si 0.000 0.000 0.000
Pd 0.048 0.408 0.781
Pd 0.763 0.951 0.694
Pd 0.591 0.237 0.123
Pd 0.237 0.049 0.306
Pd 0.952 0.592 0.219
Pd 0.409 0.763 0.877
Pt 0.500 0.500 0.500
```

6.
Compound: Hf6Al2Tc
Source: Alexandria
Functional: GGA-PBE
Structure: optimized geometry Values from VASP.

**SG**: No. 71
**ΔE_f**: 102 meV/atom
**Fermi-level density of states**: 7.78 states/eV/f.u.

Geometry as Quantum ESPRESSO input:
```
&SYSTEM
  ibrav = 0, nat = 9, ntyp = 3
/
ATOMIC_SPECIES
Hf 178.49 Hf.upf
Al 26.98 Al.upf
Tc 98.00 Tc.upf
CELL_PARAMETERS angstrom
-3.665 2.532 0.965
-2.543 -1.463 -5.816
0.036 -6.015 5.146
ATOMIC_POSITIONS crystal
Hf 0.162 0.405 0.323
Hf 0.838 0.082 0.677
Hf 0.838 0.595 0.677
Hf 0.500 0.240 0.000
Hf 0.162 0.918 0.323
Hf 0.500 0.760 0.000
Al 0.668 0.668 0.336
Al 0.332 0.332 0.664
Tc 0.000 0.000 0.000
```

7.
Compound: Tl2InTe2O6
Source: Alexandria
Functional: GGA-PBE
Structure: optimized geometry Values from VASP.

**SG**: No. 12
**Fermi-level density of states**: 2.00 states/eV/f.u.
**Uncorrected formation energy**: -921 kJ/mol of formula units

Geometry as Quantum ESPRESSO input:
```
&SYSTEM
  ibrav = 0, nat = 11, ntyp = 4
/
ATOMIC_SPECIES
Tl 204.38 Tl.upf
In 114.82 In.upf
Te 127.60 Te.upf
O 16.00 O.upf
CELL_PARAMETERS angstrom
-3.696 -1.624 5.553
3.356 -3.845 -3.135
4.068 3.192 3.642
ATOMIC_POSITIONS crystal
Tl 0.684 0.368 0.098
Tl 0.316 0.632 0.902
In 0.500 0.000 0.500
Te 0.954 0.908 0.733
Te 0.046 0.092 0.267
O 0.753 0.506 0.662
O 0.314 0.036 0.254
O 0.278 0.964 0.746
O 0.686 0.964 0.746
O 0.722 0.036 0.254
O 0.247 0.494 0.338
```

8.
Compound: LiGd2Sc
Source: Alexandria
Functional: GGA-PBE
Structure: optimized geometry Values from VASP.

**SG**: No. 225
**ΔE_f**: 154 meV/atom
**Fermi-level density of states**: 4.51 states/eV/f.u.
**Energy above the most stable polymorph in this dataset**: 0.072 eV per atom

Geometry as Quantum ESPRESSO input:
```
&SYSTEM
  ibrav = 0, nat = 4, ntyp = 3
/
ATOMIC_SPECIES
Sc 44.96 Sc.upf
Gd 157.25 Gd.upf
Li 6.94 Li.upf
CELL_PARAMETERS angstrom
5.369 0.000 0.000
2.684 4.649 0.000
2.684 1.550 4.384
ATOMIC_POSITIONS crystal
Sc 0.000 0.000 0.000
Gd 0.250 0.250 0.250
Gd 0.750 0.750 0.750
Li 0.500 0.500 0.500
```

| no. | total magnetic moment (Bohr magnetons per cell) |
| --- | --- |
| 1 | 1.97 |
| 2 | 2.00 |
| 3 | 0.00 |
| 4 | 0.00 |
| 5 | 0.00 |
| 6 | 0.00 |
| 7 | 0.00 |
| 8 | 14.35 |